Entry 1:
## ZrS2N2 (PBE)

Data for an optimized crystal structure of ZrS2N2.

Lattice parameters (Å, degrees): 4.071 4.071 5.539 90.00 90.00 90.00
Sites, in units of the cell vectors:
S 0.500 0.500 0.500
S 0.000 0.000 0.500
N 0.000 0.500 0.000
N 0.500 0.000 0.000
Zr 0.000 0.000 0.000

The crystal system is tetragonal.

***

Entry 2:
## Zr2SN (PBE)

Data for an optimized crystal structure of Zr2SN.

Lattice parameters (Å, degrees): 3.363 3.363 6.472 74.94 74.94 60.00
Sites, in units of the cell vectors:
Zr 0.266 0.266 0.203
Zr 0.067 0.067 0.798
S 0.499 0.499 0.502
N 0.668 0.668 0.997

The crystal system is trigonal.

***

Entry 3:
## ZrSN (PBE)

Data for an optimized crystal structure of ZrSN.

Lattice parameters (Å, degrees): 5.261 3.752 6.133 90.00 124.76 90.00
Sites, in units of the cell vectors:
N 0.349 0.000 0.465
N 0.349 0.500 0.965
S 0.844 0.500 0.986
S 0.844 0.000 0.486
Zr 0.256 0.000 0.080
Zr 0.256 0.500 0.580

The crystal system is monoclinic.

***

Entry 4:
## ZrSN (PBE)

Data for an optimized crystal structure of ZrSN.

Lattice parameters (Å, degrees): 3.457 4.563 6.762 75.42 89.35 89.54
Sites, in units of the cell vectors:
S 0.786 0.860 0.964
S 0.771 0.415 0.683
N 0.279 0.013 0.323
N 0.781 0.524 0.161
Zr 0.276 0.254 0.035
Zr 0.276 0.562 0.398

The crystal system is triclinic.

***

no.,density of states at the Fermi level (states/eV/atom),E_form (uncorrected) (eV per atom)
1,0.92,0.84
2,0.50,-1.56
3,0.17,-0.96
4,0.13,-0.91